[1]
Compound: SmEr2In2
Source: Alexandria via LeMat-Bulk
Functional: GGA-PBE
Structure: optimized geometry

The structure in POSCAR format:
```
SmEr2In2
1.0
1.877 -13.847 0.000
1.877 13.847 0.000
0.000 0.000 5.371
Sm Er In
2 4 4
Cartesian
1.877 9.741 4.029 Sm
1.877 -9.741 1.343 Sm
1.877 12.503 1.343 Er
1.877 7.283 1.343 Er
1.877 -7.283 4.029 Er
1.877 -12.503 4.029 Er
1.877 3.977 4.029 In
1.877 1.321 1.343 In
1.877 -1.321 4.029 In
1.877 -3.977 1.343 In
```

Energy relative to the lowest polymorph listed for this composition, eV/f.u.: 0.000
Final energy, eV/cell: -42.36
Space-group type: Cmcm
E_form, kJ per mole of atoms: -35.8

[2]
Compound: Sm5Er4In
Source: Alexandria via LeMat-Bulk
Functional: GGA-PBE
Structure: optimized geometry

The structure in POSCAR format:
```
Sm5Er4In
1.0
-5.298 5.298 2.939
5.298 -5.298 2.939
5.298 5.298 -2.939
Sm Er In
5 4 1
Cartesian
0.000 0.000 0.000 Sm
3.315 3.315 -1.283 Sm
1.983 -1.983 1.656 Sm
-1.983 1.983 1.656 Sm
1.983 1.983 1.656 Sm
5.298 -1.926 1.701 Er
5.298 1.926 1.701 Er
-1.926 5.298 1.701 Er
1.926 5.298 1.701 Er
0.000 0.000 3.053 In
```

Energy relative to the lowest polymorph listed for this composition, eV/f.u.: 1.505
Final energy, eV/cell: -43.10
Space-group type: I4mm
E_form, kJ per mole of atoms: 14.3

[3]
Compound: Sm5Er3In4
Source: Alexandria via LeMat-Bulk
Functional: GGA-PBE
Structure: optimized geometry

The structure in POSCAR format:
```
Sm5Er3In4
1.0
7.497 -2.886 0.000
7.497 2.886 0.000
-3.572 0.000 8.270
Sm Er In
5 3 4
Cartesian
0.000 0.000 0.000 Sm
-0.185 0.000 6.980 Sm
2.732 0.000 5.039 Sm
8.691 0.000 3.230 Sm
11.608 0.000 1.290 Sm
-0.454 0.000 3.389 Er
7.497 0.000 0.000 Er
11.878 0.000 4.881 Er
2.475 0.000 1.887 In
5.416 0.000 2.608 In
6.008 0.000 5.662 In
8.949 0.000 6.383 In
```

Final energy, eV/cell: -49.23
Space-group type: C2/m
E_form, kJ per mole of atoms: -8.0

[4]
Compound: Sm2Er12In
Source: Alexandria via LeMat-Bulk
Functional: GGA-PBE
Structure: optimized geometry

The structure in POSCAR format:
```
Sm2Er12In
1.0
3.556 -5.354 0.000
3.556 5.354 0.000
-0.020 0.000 24.412
Sm Er In
4 24 2
Cartesian
0.864 0.000 6.787 Sm
2.643 0.000 17.613 Sm
4.450 0.000 6.800 Sm
6.229 0.000 17.625 Sm
0.850 0.000 13.989 Er
2.644 2.671 4.845 Er
2.650 2.661 8.115 Er
2.654 2.644 13.531 Er
0.912 0.000 3.120 Er
2.783 2.672 1.507 Er
4.310 2.672 22.905 Er
2.615 0.000 21.283 Er
2.636 0.000 10.514 Er
4.439 2.644 10.881 Er
4.443 2.661 16.297 Er
4.449 2.671 19.568 Er
2.644 -2.671 4.845 Er
2.650 -2.661 8.115 Er
2.654 -2.644 13.531 Er
4.457 0.000 13.899 Er
4.478 0.000 3.129 Er
2.783 -2.672 1.507 Er
4.310 -2.672 22.905 Er
6.181 0.000 21.292 Er
4.439 -2.644 10.881 Er
4.443 -2.661 16.297 Er
4.449 -2.671 19.568 Er
6.242 0.000 10.423 Er
1.754 0.000 24.407 In
5.339 0.000 0.006 In
```

Final energy, eV/cell: -132.07
Space-group type: C2/m
E_form, kJ per mole of atoms: 5.8

[5]
Compound: Sm3Er3In2
Source: Alexandria via LeMat-Bulk
Functional: GGA-PBE
Structure: optimized geometry

The structure in POSCAR format:
```
Sm3Er3In2
1.0
4.854 0.000 0.000
0.000 4.865 0.000
0.000 0.000 9.783
Sm Er In
3 3 2
Cartesian
0.000 0.000 0.000 Sm
0.000 0.000 4.892 Sm
2.427 2.432 0.000 Sm
2.427 0.000 2.464 Er
2.427 0.000 7.319 Er
2.427 2.432 4.892 Er
0.000 2.432 2.474 In
0.000 2.432 7.309 In
```

Energy relative to the lowest polymorph listed for this composition, eV/f.u.: 0.000
Final energy, eV/cell: -35.43
Space-group type: Pmmm
E_form, kJ per mole of atoms: -25.4

[6]
Compound: Sm4ErIn2
Source: Alexandria via LeMat-Bulk
Functional: GGA-PBE
Structure: optimized geometry

The structure in POSCAR format:
```
Sm4ErIn2
1.0
6.264 0.000 0.000
0.000 11.911 0.000
-3.374 0.000 5.766
Sm Er In
8 2 4
Cartesian
-0.969 2.510 2.297 Sm
-2.656 3.445 5.180 Sm
2.403 7.367 0.424 Sm
0.716 10.500 3.307 Sm
2.174 1.411 2.459 Sm
0.487 4.544 5.342 Sm
5.546 8.466 0.586 Sm
3.859 9.401 3.469 Sm
0.000 0.000 0.000 Er
-1.687 5.956 2.883 Er
0.010 1.355 5.141 In
1.697 4.601 2.259 In
1.193 7.311 3.507 In
2.880 10.556 0.624 In
```

Energy relative to the lowest polymorph listed for this composition, eV/f.u.: 0.169
Final energy, eV/cell: -59.92
Space-group type: P2_1/c
E_form, kJ per mole of atoms: -14.4

[7]
Compound: Sm2Er4In
Source: Alexandria via LeMat-Bulk
Functional: GGA-PBE
Structure: optimized geometry

The structure in POSCAR format:
```
Sm2Er4In
1.0
6.462 0.000 0.000
0.000 6.238 0.000
0.000 0.000 10.652
Sm Er In
4 8 2
Cartesian
0.000 1.525 0.440 Sm
0.000 4.713 10.212 Sm
3.231 1.525 4.886 Sm
3.231 4.713 5.767 Sm
0.000 0.420 3.677 Er
0.000 5.818 6.976 Er
1.615 2.523 7.989 Er
1.615 3.715 2.663 Er
3.231 0.420 1.650 Er
3.231 5.818 9.003 Er
4.846 2.523 7.989 Er
4.846 3.715 2.663 Er
0.000 3.119 5.326 In
3.231 3.119 0.000 In
```

Energy relative to the lowest polymorph listed for this composition, eV/f.u.: 0.000
Final energy, eV/cell: -61.47
Space-group type: Pmna
E_form, kJ per mole of atoms: -4.2

[8]
Compound: SmEr6In2
Source: Alexandria via LeMat-Bulk
Functional: GGA-PBE
Structure: optimized geometry

The structure in POSCAR format:
```
SmEr6In2
1.0
6.309 -1.860 0.000
6.309 1.860 0.000
-3.658 0.000 11.310
Sm Er In
1 6 2
Cartesian
0.000 0.000 0.000 Sm
-1.098 0.000 3.901 Er
2.390 0.000 4.728 Er
3.509 0.000 1.415 Er
5.450 0.000 9.895 Er
6.569 0.000 6.582 Er
10.058 0.000 7.409 Er
1.605 0.000 8.888 In
7.354 0.000 2.422 In
```

Final energy, eV/cell: -39.36
Space-group type: C2/m
E_form, kJ per mole of atoms: -19.2

[9]
Compound: Sm6Er2In3
Source: Alexandria via LeMat-Bulk
Functional: GGA-PBE
Structure: optimized geometry

The structure in POSCAR format:
```
Sm6Er2In3
1.0
-2.707 2.707 12.225
2.707 -2.707 12.225
2.707 2.707 -12.225
Sm Er In
6 2 3
Cartesian
2.707 0.000 2.424 Sm
0.000 0.000 4.826 Sm
2.707 0.000 9.801 Sm
0.000 2.707 2.424 Sm
0.000 0.000 19.624 Sm
0.000 2.707 9.801 Sm
0.000 0.000 1.419 Er
0.000 0.000 23.030 Er
0.000 0.000 7.970 In
0.000 0.000 12.225 In
0.000 0.000 16.479 In
```

Final energy, eV/cell: -43.22
Space-group type: I4/mmm
E_form, kJ per mole of atoms: 21.4

[10]
Compound: Sm3Er2In2
Source: Alexandria via LeMat-Bulk
Functional: GGA-PBE
Structure: optimized geometry

The structure in POSCAR format:
```
Sm3Er2In2
1.0
16.817 0.000 0.000
0.000 3.490 0.000
-3.707 0.000 7.075
Sm Er In
6 4 4
Cartesian
0.000 0.000 0.000 Sm
3.057 0.000 0.933 Sm
1.645 1.745 6.142 Sm
8.409 1.745 0.000 Sm
11.465 1.745 0.933 Sm
10.054 0.000 6.142 Sm
0.469 0.000 3.323 Er
4.233 1.745 3.752 Er
8.877 1.745 3.323 Er
12.642 0.000 3.752 Er
-1.595 1.745 5.182 In
6.297 0.000 1.893 In
6.813 0.000 5.182 In
14.706 1.745 1.893 In
```

Energy relative to the lowest polymorph listed for this composition, eV/f.u.: 0.308
Final energy, eV/cell: -59.16
Space-group type: C2/m
E_form, kJ per mole of atoms: -11.3

[11]
Compound: Sm7Er2In
Source: Alexandria via LeMat-Bulk
Functional: GGA-PBE
Structure: optimized geometry

The structure in POSCAR format:
```
Sm7Er2In
1.0
4.386 -8.030 0.000
4.386 8.030 0.000
0.000 0.000 5.468
Sm Er In
7 2 1
Cartesian
0.000 0.000 0.000 Sm
2.837 1.725 0.000 Sm
4.386 3.389 2.734 Sm
2.837 -1.725 0.000 Sm
5.936 1.725 0.000 Sm
4.386 -3.389 2.734 Sm
5.936 -1.725 0.000 Sm
4.386 4.690 0.000 Er
4.386 -4.690 0.000 Er
4.386 0.000 2.734 In
```

Final energy, eV/cell: -39.60
Space-group type: Cmmm
E_form, kJ per mole of atoms: 51.1

[12]
Compound: Sm5Er2In5
Source: Alexandria via LeMat-Bulk
Functional: GGA-PBE
Structure: optimized geometry

The structure in POSCAR format:
```
Sm5Er2In5
1.0
5.866 -2.608 0.000
5.866 2.608 0.000
-4.093 0.000 11.365
Sm Er In
5 2 5
Cartesian
0.000 0.000 0.000 Sm
-1.579 0.000 8.795 Sm
-0.231 0.000 5.677 Sm
7.871 0.000 5.688 Sm
9.219 0.000 2.570 Sm
1.989 0.000 8.437 Er
5.651 0.000 2.928 Er
1.574 0.000 3.061 In
3.710 0.000 0.440 In
3.820 0.000 5.682 In
3.930 0.000 10.925 In
6.066 0.000 8.304 In
```

Final energy, eV/cell: -50.14
Space-group type: C2/m
E_form, kJ per mole of atoms: -30.0

[13]
Compound: Sm6Er2In
Source: Alexandria via LeMat-Bulk
Functional: GGA-PBE
Structure: optimized geometry

The structure in POSCAR format:
```
Sm6Er2In
1.0
10.653 -3.127 0.000
10.653 3.127 0.000
-3.031 0.000 8.551
Sm Er In
12 4 2
Cartesian
6.921 2.089 0.720 Sm
6.900 2.022 7.392 Sm
9.859 2.022 5.435 Sm
6.878 0.921 4.026 Sm
12.869 2.089 3.556 Sm
12.912 0.921 0.250 Sm
5.362 -0.921 8.301 Sm
5.405 -2.089 4.996 Sm
11.396 -0.921 4.526 Sm
8.416 -2.022 3.116 Sm
11.374 -2.022 1.159 Sm
11.353 -2.089 7.831 Sm
3.790 1.053 5.943 Er
5.305 -1.053 1.667 Er
12.969 1.053 6.884 Er
14.484 -1.053 2.609 Er
9.895 1.062 2.138 In
8.379 -1.062 6.414 In
```

Energy relative to the lowest polymorph listed for this composition, eV/f.u.: 0.000
Final energy, eV/cell: -82.13
Space-group type: C2/c
E_form, kJ per mole of atoms: -9.5

[14]
Compound: SmErIn2
Source: Alexandria via LeMat-Bulk
Functional: GGA-PBE
Structure: optimized geometry

The structure in POSCAR format:
```
SmErIn2
1.0
3.710 0.000 0.000
-1.855 3.213 0.000
0.000 0.000 29.288
Sm Er In
3 3 6
Cartesian
0.000 0.000 0.000 Sm
0.000 2.142 19.525 Sm
1.855 1.071 9.763 Sm
0.000 0.000 14.644 Er
0.000 2.142 4.881 Er
1.855 1.071 24.407 Er
0.000 0.000 7.267 In
0.000 0.000 22.021 In
0.000 2.142 12.259 In
0.000 2.142 26.792 In
1.855 1.071 2.496 In
1.855 1.071 17.029 In
```

Energy relative to the lowest polymorph listed for this composition, eV/f.u.: 0.615
Final energy, eV/cell: -48.06
Space-group type: R-3m
E_form, kJ per mole of atoms: -30.4

[15]
Compound: Sm5ErIn8
Source: Alexandria via LeMat-Bulk
Functional: GGA-PBE
Structure: optimized geometry

The structure in POSCAR format:
```
Sm5ErIn8
1.0
-4.668 4.668 4.613
4.668 -4.668 4.613
4.668 4.668 -4.613
Sm Er In
5 1 8
Cartesian
0.000 0.000 0.000 Sm
2.361 3.542 -1.173 Sm
5.795 2.361 1.173 Sm
2.308 1.126 3.441 Sm
-1.126 2.308 5.786 Sm
0.000 4.668 2.307 Er
5.472 3.051 -1.957 In
3.129 0.758 0.318 In
3.911 -1.539 4.295 In
-0.803 1.618 2.657 In
3.051 3.865 1.957 In
0.758 6.208 -0.318 In
1.618 0.803 6.570 In
1.539 3.911 4.932 In
```

Final energy, eV/cell: -55.13
Space-group type: I-4
E_form, kJ per mole of atoms: -34.9

[16]
Compound: Sm4Er3In
Source: Alexandria via LeMat-Bulk
Functional: GGA-PBE
Structure: optimized geometry

The structure in POSCAR format:
```
Sm4Er3In
1.0
11.240 0.000 0.000
0.000 7.097 0.000
0.000 0.000 6.194
Sm Er In
8 6 2
Cartesian
0.000 0.920 0.000 Sm
0.000 6.151 2.798 Sm
2.606 6.160 5.068 Sm
3.014 0.938 1.971 Sm
5.620 0.947 5.895 Sm
5.620 6.178 3.097 Sm
8.226 0.938 1.971 Sm
8.634 6.160 5.068 Sm
0.000 2.639 2.957 Er
2.766 2.726 4.948 Er
2.854 4.371 1.851 Er
5.620 4.459 6.054 Er
8.386 4.371 1.851 Er
8.474 2.726 4.948 Er
0.000 4.317 6.064 In
5.620 2.781 2.967 In
```

Energy relative to the lowest polymorph listed for this composition, eV/f.u.: 0.000
Final energy, eV/cell: -72.11
Space-group type: Pmn2_1
E_form, kJ per mole of atoms: -9.1

[17]
Compound: SmEr3In2
Source: Alexandria via LeMat-Bulk
Functional: GGA-PBE
Structure: optimized geometry

The structure in POSCAR format:
```
SmEr3In2
1.0
8.913 0.000 0.000
0.000 3.501 0.000
0.000 0.000 22.081
Sm Er In
4 12 8
Cartesian
1.413 0.875 3.557 Sm
3.044 2.626 14.597 Sm
5.869 0.875 7.484 Sm
7.500 2.626 18.524 Sm
0.350 0.875 9.353 Er
0.971 0.875 20.685 Er
1.907 2.626 17.742 Er
2.549 0.875 6.702 Er
3.486 2.626 9.645 Er
4.106 2.626 20.393 Er
4.806 0.875 1.687 Er
5.427 0.875 12.436 Er
6.363 2.626 15.379 Er
7.006 0.875 4.339 Er
7.942 2.626 1.396 Er
8.563 2.626 12.728 Er
0.195 0.875 15.653 In
2.211 0.875 11.959 In
2.245 2.626 0.918 In
4.261 2.626 4.613 In
4.651 0.875 17.468 In
6.668 0.875 21.162 In
6.701 2.626 10.122 In
8.718 2.626 6.428 In
```

Energy relative to the lowest polymorph listed for this composition, eV/f.u.: 0.000
Final energy, eV/cell: -102.24
Space-group type: Pnma
E_form, kJ per mole of atoms: -26.9

[18]
Compound: SmErIn4
Source: Alexandria via LeMat-Bulk
Functional: GGA-PBE
Structure: optimized geometry

The structure in POSCAR format:
```
SmErIn4
1.0
10.458 0.000 0.000
0.000 18.103 0.000
0.000 0.000 3.447
Sm Er In
4 4 16
Cartesian
0.813 2.423 0.000 Sm
4.416 11.474 0.000 Sm
6.042 6.629 0.000 Sm
9.645 15.680 0.000 Sm
1.229 7.727 0.000 Er
4.000 16.778 0.000 Er
6.458 1.325 0.000 Er
9.230 10.376 0.000 Er
0.219 5.205 1.723 In
1.369 17.605 1.723 In
1.622 10.549 1.723 In
2.086 14.660 1.723 In
3.143 5.608 1.723 In
3.607 1.498 1.723 In
3.860 8.554 1.723 In
5.010 14.257 1.723 In
5.448 3.846 1.723 In
6.598 9.549 1.723 In
6.851 16.605 1.723 In
7.316 12.495 1.723 In
8.372 3.443 1.723 In
8.837 7.554 1.723 In
9.090 0.498 1.723 In
10.239 12.898 1.723 In
```

Energy relative to the lowest polymorph listed for this composition, eV/f.u.: 0.178
Final energy, eV/cell: -88.37
Space-group type: Pbam
E_form, kJ per mole of atoms: -29.9

[19]
Compound: Sm2ErIn
Source: Alexandria via LeMat-Bulk
Functional: GGA-PBE
Structure: optimized geometry

The structure in POSCAR format:
```
Sm2ErIn
1.0
3.601 0.000 0.000
0.000 3.601 0.000
0.000 0.000 9.414
Sm Er In
2 1 1
Cartesian
0.000 0.000 2.157 Sm
0.000 0.000 7.257 Sm
1.800 1.800 4.707 Er
1.800 1.800 0.000 In
```

Energy relative to the lowest polymorph listed for this composition, eV/f.u.: 0.233
Final energy, eV/cell: -17.57
Space-group type: P4/mmm
E_form, kJ per mole of atoms: -20.1

[20]
Compound: SmEr5In
Source: Alexandria via LeMat-Bulk
Functional: GGA-PBE
Structure: optimized geometry

The structure in POSCAR format:
```
SmEr5In
1.0
7.905 0.000 0.000
0.000 11.428 0.000
0.000 0.000 6.172
Sm Er In
2 10 2
Cartesian
0.000 0.000 0.000 Sm
3.953 5.714 3.086 Sm
0.000 2.893 3.677 Er
0.000 5.714 1.780 Er
0.000 8.535 3.677 Er
1.470 0.000 3.078 Er
2.482 5.714 6.164 Er
3.953 0.000 4.866 Er
3.953 2.821 0.592 Er
3.953 8.607 0.592 Er
5.423 5.714 6.164 Er
6.435 0.000 3.078 Er
0.000 5.714 4.700 In
3.953 0.000 1.614 In
```

Final energy, eV/cell: -50.55
Space-group type: Imm2
E_form, kJ per mole of atoms: 68.8